Density functional theory data (PBE-GGA) for TeAuN2F after structural relaxation.

The calculation puts the size of the total moment at 0.0 μB per formula unit. The calculation puts the energy above the most stable polymorph in this dataset at 0.000 eV per atom. The total energy comes out at -3.958 eV/atom. Its energy relative to the elements, uncorrected is 1.03 eV/atom.

It has space group P4/mmm (No. 123), with a = 4.1182 Å, b = 4.1182 Å, c = 4.2558 Å, α = 90.00°, β = 90.00° and γ = 90.00°. The inequivalent atoms are Te at (0.0000, 0.0000, 0.0000), Au at (0.5000, 0.5000, 0.5000), N at (0.0000, 0.5000, 0.0000) and F at (0.0000, 0.0000, 0.5000).


Density functional theory data (PBE-GGA) for YTeRh3 after structural relaxation.

The calculation puts the size of the total moment at 0.0 μB per formula unit. The calculation puts the energy above the most stable polymorph in this dataset at 0.000 eV per atom. The total energy comes out at -6.249 eV/atom. Its energy relative to the elements, uncorrected is 0.08 eV/atom.

It has space group Pm-3m (No. 221), with a = 4.8284 Å, b = 4.8284 Å, c = 4.8284 Å, α = 90.00°, β = 90.00° and γ = 90.00°. The inequivalent atoms are Y at (0.0000, 0.0000, 0.0000), Te at (0.5000, 0.5000, 0.5000) and Rh at (0.0000, 0.5000, 0.5000).


Density functional theory data (PBE-GGA) for KGa2Pt2 after structural relaxation.

The calculation puts the size of the total moment at 0.0 μB per formula unit. The calculation puts the energy above the most stable polymorph in this dataset at 0.086 eV per atom. The total energy comes out at -4.303 eV/atom.

It has space group P4/mbm (No. 127), with a = 8.0383 Å, b = 8.0383 Å, c = 2.7919 Å, α = 90.00°, β = 90.00° and γ = 90.00°. The inequivalent atoms are K at (0.0000, 0.0000, 0.0000), Ga at (0.1257, 0.3743, 0.0000) and Pt at (0.1681, 0.6681, 0.5000).


Density functional theory data (PBE-GGA) for U2Pa2Se5 after structural relaxation.

The calculation puts the size of the total moment at 5.0 μB per formula unit. The total energy comes out at -7.734 eV/atom. Its energy relative to the elements, uncorrected is -1.18 eV/atom.

It has space group P-3m1 (No. 164), with a = 4.0810 Å, b = 4.0810 Å, c = 16.5999 Å, α = 90.00°, β = 90.00° and γ = 120.00°. The inequivalent atoms are U at (0.3333, 0.6667, 0.3999), Pa at (0.0000, 0.0000, 0.2051), Se at (0.0000, 0.0000, 0.5000), Se at (0.3333, 0.6667, 0.1082) and Se at (0.3333, 0.6667, 0.6962).


Density functional theory data (PBE-GGA) for SiPRu4 after structural relaxation.

The calculation puts the size of the total moment at 0.0 μB per formula unit. The total energy comes out at -7.242 eV/atom. Its energy relative to the elements, uncorrected is 0.75 eV/atom.

It has space group F-43m (No. 216), with a = 7.1596 Å, b = 7.1596 Å, c = 7.1596 Å, α = 90.00°, β = 90.00° and γ = 90.00°. The inequivalent atoms are Si at (0.0000, 0.0000, 0.0000), P at (0.2500, 0.2500, 0.2500) and Ru at (0.1248, 0.1248, 0.6248).


Density functional theory data (PBE-GGA) for DyCuAu after structural relaxation.

The calculation puts the size of the total moment at 0.0 μB per formula unit. The calculation puts the energy above the most stable polymorph in this dataset at 0.035 eV per atom. The total energy comes out at -4.520 eV/atom.

It has space group P2_1/m (No. 11), with a = 5.1143 Å, b = 5.1926 Å, c = 5.1377 Å, α = 90.00°, β = 119.60° and γ = 90.00°. The inequivalent atoms are Dy at (0.2489, 0.2500, 0.2479), Cu at (0.0765, 0.7500, 0.4266) and Au at (0.4150, 0.7500, 0.0936).


Density functional theory data (PBE-GGA) for CeTmAgBi after structural relaxation.

The calculation puts the size of the total moment at 2.2 μB per formula unit. The total energy comes out at -4.634 eV/atom.

It has space group F-43m (No. 216), with a = 7.5719 Å, b = 7.5719 Å, c = 7.5719 Å, α = 90.00°, β = 90.00° and γ = 90.00°. The inequivalent atoms are Ce at (0.0000, 0.0000, 0.0000), Tm at (0.0000, 0.0000, 0.5000), Ag at (0.2500, 0.2500, 0.7500) and Bi at (0.2500, 0.2500, 0.2500).


Density functional theory data (PBE-GGA) for Sm3HoAg3 after structural relaxation.

The calculation puts the size of the total moment at 0.0 μB per formula unit. The total energy comes out at -4.024 eV/atom.

It has space group C2/m (No. 12), with a = 10.0248 Å, b = 10.8274 Å, c = 7.1171 Å, α = 90.00°, β = 91.32° and γ = 90.00°. The inequivalent atoms are Sm at (0.0000, 0.1789, 0.0000), Sm at (0.0000, 0.2677, 0.5000), Sm at (0.1359, 0.5000, 0.8634), Ho at (0.2446, 0.5000, 0.3608), Ag at (0.0693, 0.0000, 0.3207) and Ag at (0.2407, 0.2470, 0.2284).